1.
# Pu8HIr5, optimized geometry, DFT PBE
data_Pu8HIr5
_cell_length_a 8.207
_cell_length_b 8.207
_cell_length_c 8.707
_cell_angle_alpha 90.00
_cell_angle_beta 90.00
_cell_angle_gamma 90.00
_symmetry_space_group_name_H-M 'I -4'
_symmetry_Int_Tables_number 82
loop_
_symmetry_equiv_pos_as_xyz
'x,y,z'
'y,-x,-z'
'-x,-y,z'
'-y,x,-z'
'x+1/2,y+1/2,z+1/2'
'y+1/2,-x+1/2,-z+1/2'
'-x+1/2,-y+1/2,z+1/2'
'-y+1/2,x+1/2,-z+1/2'
loop_
_atom_site_label
_atom_site_type_symbol
_atom_site_fract_x
_atom_site_fract_y
_atom_site_fract_z
Pu1 Pu 0.060 0.183 0.164
Pu2 Pu 0.069 0.285 0.528
H1 H 0.000 0.000 0.500
Ir1 Ir 0.000 0.500 0.250
Ir2 Ir 0.099 0.288 0.848
# **Magnetization**: 0.107 μB/cell
# **Density of states at the Fermi level**: 62.1 states/eV/f.u.
# **Crystal system**: tetragonal
# **Total DFT energy (no corrections)**: -166.51 eV per formula unit



2.
# HoPuPb, optimized geometry, DFT PBE
data_HoPuPb
_cell_length_a 5.3386
_cell_length_b 5.3386
_cell_length_c 3.5216
_cell_angle_alpha 90.00
_cell_angle_beta 90.00
_cell_angle_gamma 120.00
_symmetry_space_group_name_H-M 'P 3 m 1'
_symmetry_Int_Tables_number 156
loop_
_symmetry_equiv_pos_as_xyz
'x,y,z'
'-y,x-y,z'
'-x+y,-x,z'
'-y,-x,z'
'-x+y,y,z'
'x,x-y,z'
loop_
_atom_site_label
_atom_site_type_symbol
_atom_site_fract_x
_atom_site_fract_y
_atom_site_fract_z
Ho1 Ho 0.0000 0.0000 0.0000
Pu1 Pu 0.6667 0.3333 0.4332
Pb1 Pb 0.3333 0.6667 0.7827
# **Magnetization**: 6.757 μB/cell
# **Density of states at the Fermi level**: 6.8 states/eV/f.u.
# **Calculated formation energy**: -0.073 eV per atom
# **Relative energy among the computed polymorphs**: 0.221 eV/atom
# **Crystal system**: trigonal
# **Total DFT energy (no corrections)**: -22.84 eV per formula unit